PBE-GGA ScIn2Ru, relaxed; energy relative to the elements = -0.18 eV per atom; space group = Imm2 (44); density of states at the Fermi level = 0.68 states/eV/atom
1.0
-1.7300 2.3835 4.7789
1.7300 -2.3835 4.7789
1.7300 2.3835 -4.7789
Sc In Ru
1 2 1
direct
0.0000 0.0000 0.0000
0.2772 0.7772 0.5000
0.5526 0.5526 0.0000
0.7910 0.2910 0.5000